First-principles (PBE) data for an optimized crystal structure of SbRhSe, as listed in Alexandria.

Values from the calculation:
The value obtained for the total energy is -66.6 eV per cell. As for the formation energy (no corrections): -12.97 kcal/mol of atoms. Its total magnetization is 0.000 μB per cell.

a = 6.2573 Å, b = 6.2573 Å, c = 6.2573 Å
α = 90.00°, β = 90.00°, γ = 90.00°
Element x y z (fractional)
Se1 0.1280 0.6280 0.8720
Se2 0.3720 0.3720 0.3720
Se3 0.8720 0.1280 0.6280
Se4 0.6280 0.8720 0.1280
Sb1 0.8739 0.6261 0.3739
Sb2 0.3739 0.8739 0.6261
Sb3 0.1261 0.1261 0.1261
Sb4 0.6261 0.3739 0.8739
Rh1 0.7451 0.2451 0.2549
Rh2 0.2549 0.7451 0.2451
Rh3 0.2451 0.2549 0.7451
Rh4 0.7549 0.7549 0.7549